Version a
Below is a relaxed MgSe2NCl crystal, with properties calculated at the PBE level.

## Properties
space group	P4/mmm (123)
M_tot	1.58	μB per formula unit
DOS(E_F)	1.6	states/eV per cell
V	100.4	Å³/cell

Cell and atoms, written as extended XYZ:
```
5
Lattice="5.1187 0.0000 0.0000 0.0000 5.1187 0.0000 0.0000 0.0000 3.8328" Properties=species:S:1:pos:R:3 pbc="T T T"
Mg 0.0000 0.0000 0.0000
Se 0.0000 2.5593 1.9164
Se 2.5593 0.0000 1.9164
N 2.5593 2.5593 0.0000
Cl 2.5593 2.5593 1.9164
```

---

Version b
Below is a relaxed MgSe2NCl crystal, with properties calculated at the PBE level.

## Properties
space group	P4/mmm (123)
M_tot	0.33	μB per formula unit
DOS(E_F)	3.9	states/eV per cell
V	111.3	Å³/cell

Cell and atoms, written as extended XYZ:
```
5
Lattice="5.2287 0.0000 0.0000 0.0000 5.2287 0.0000 0.0000 0.0000 4.0705" Properties=species:S:1:pos:R:3 pbc="T T T"
Mg 0.0000 0.0000 0.0000
Se 0.0000 2.6144 0.0000
Se 2.6144 0.0000 0.0000
N 0.0000 0.0000 2.0352
Cl 2.6144 2.6144 2.0352
```

---

Out of the structures above, which one is the least stable? Solution: version a.